Record 1
The following is a PBE-GGA calculation of NbAgAs2 after structural relaxation, from OQMD.

abc: 6.606 6.606 6.606
angles: 90.00 90.00 90.00
Fractional positions:
Nb: 0.000 0.000 0.000
Nb: 0.000 0.500 0.500
Nb: 0.500 0.000 0.500
Nb: 0.500 0.500 0.000
Ag: 0.250 0.250 0.250
Ag: 0.250 0.750 0.750
Ag: 0.750 0.250 0.750
Ag: 0.750 0.750 0.250
As: 0.000 0.000 0.500
As: 0.000 0.500 0.000
As: 0.250 0.250 0.750
As: 0.250 0.750 0.250
As: 0.500 0.000 0.000
As: 0.500 0.500 0.500
As: 0.750 0.250 0.250
As: 0.750 0.750 0.750

## Properties
- Symmetry: F-43m, No. 216
- Electronic total energy: -20.642 eV/f.u.

---

Record 2
The following is a PBE-GGA calculation of NbAgAs2O7 after structural relaxation, from OQMD.

abc: 5.630 5.630 4.989
angles: 101.17 101.17 95.15
Fractional positions:
Nb: 0.000 0.000 0.000
Ag: 0.584 0.416 0.000
As: 0.138 0.439 0.591
As: 0.561 0.862 0.409
O: 0.178 0.237 0.836
O: 0.317 0.009 0.255
O: 0.408 0.592 0.500
O: 0.709 0.077 0.716
O: 0.763 0.822 0.164
O: 0.923 0.291 0.284
O: 0.991 0.683 0.745

## Properties
- Symmetry: C2, No. 5
- Electronic total energy: -71.168 eV/f.u.

---

Record 3
The following is a PBE-GGA calculation of NdAg2As2 after structural relaxation, from OQMD.

abc: 4.519 4.519 10.640
angles: 90.00 90.00 90.00
Fractional positions:
Nd: 0.250 0.250 0.238
Nd: 0.750 0.750 0.762
Ag: 0.250 0.250 0.872
Ag: 0.250 0.750 0.500
Ag: 0.750 0.250 0.500
Ag: 0.750 0.750 0.128
As: 0.250 0.250 0.639
As: 0.250 0.750 0.000
As: 0.750 0.250 0.000
As: 0.750 0.750 0.361

## Properties
- Symmetry: P4/nmm, No. 129
- Electronic total energy: -21.724 eV/f.u.

---

Record 4
The following is a PBE-GGA calculation of NdAgAsO after structural relaxation, from OQMD.

abc: 3.844 7.976 6.117
angles: 90.00 90.00 90.00
Fractional positions:
Nd: 0.000 0.225 0.000
Nd: 0.000 0.775 0.500
Ag: 0.500 0.362 0.500
Ag: 0.500 0.638 0.000
As: 0.000 0.152 0.500
As: 0.000 0.848 0.000
O: 0.500 0.358 0.996
O: 0.500 0.642 0.496

## Properties
- Symmetry: Pmc2_1, No. 26
- Electronic total energy: -22.033 eV/f.u.

---

Record 5
The following is a PBE-GGA calculation of NdAgAsO after structural relaxation, from OQMD.

abc: 4.408 6.553 5.646
angles: 90.00 90.00 90.00
Fractional positions:
Nd: 0.000 0.244 0.000
Nd: 0.000 0.756 0.500
Ag: 0.500 0.145 0.451
Ag: 0.500 0.855 0.951
As: 0.500 0.478 0.730
As: 0.500 0.522 0.230
O: 0.000 0.073 0.354
O: 0.000 0.927 0.854

## Properties
- Symmetry: Pmc2_1, No. 26
- Electronic total energy: -22.064 eV/f.u.

---

Record 6
The following is a PBE-GGA calculation of NdAgAsO after structural relaxation, from OQMD.

abc: 4.103 4.103 9.178
angles: 90.00 90.00 90.00
Fractional positions:
Nd: 0.250 0.250 0.126
Nd: 0.750 0.750 0.874
Ag: 0.250 0.750 0.500
Ag: 0.750 0.250 0.500
As: 0.250 0.250 0.689
As: 0.750 0.750 0.311
O: 0.250 0.750 0.000
O: 0.750 0.250 0.000

## Properties
- Symmetry: P4/nmm, No. 129
- Electronic total energy: -23.519 eV/f.u.

---

Record 7
The following is a PBE-GGA calculation of Nd2AgAs2PdO2 after structural relaxation, from OQMD.

abc: 4.173 4.173 8.440
angles: 90.00 90.00 90.00
Fractional positions:
Nd: 0.000 0.500 0.134
Nd: 0.500 0.000 0.866
Ag: 0.000 0.000 0.500
As: 0.000 0.500 0.678
As: 0.500 0.000 0.322
Pd: 0.500 0.500 0.500
O: 0.000 0.000 0.000
O: 0.500 0.500 0.000

## Properties
- Symmetry: P-4m2, No. 115
- Electronic total energy: -50.090 eV/f.u.

---

Record 8
The following is a PBE-GGA calculation of Nd2ZnAgAs2O2 after structural relaxation, from OQMD.

abc: 4.052 4.052 9.163
angles: 90.00 90.00 90.00
Fractional positions:
Nd: 0.000 0.500 0.129
Nd: 0.500 0.000 0.871
Zn: 0.500 0.500 0.500
Ag: 0.000 0.000 0.500
As: 0.000 0.500 0.685
As: 0.500 0.000 0.315
O: 0.000 0.000 0.000
O: 0.500 0.500 0.000

## Properties
- Symmetry: P-4m2, No. 115
- Electronic total energy: -46.345 eV/f.u.

---

Record 9
The following is a PBE-GGA calculation of TbNdAg2As4 after structural relaxation, from OQMD.

abc: 4.037 4.037 10.438
angles: 90.00 90.00 90.00
Fractional positions:
Tb: 0.000 0.000 0.000
Nd: 0.500 0.500 0.454
Ag: 0.000 0.500 0.732
Ag: 0.500 0.000 0.732
As: 0.000 0.000 0.549
As: 0.000 0.500 0.222
As: 0.500 0.000 0.222
As: 0.500 0.500 0.915

## Properties
- Symmetry: P4mm, No. 99
- Electronic total energy: -39.777 eV/f.u.

---

Record 10
The following is a PBE-GGA calculation of Ni2AgAs after structural relaxation, from OQMD.

abc: 6.073 6.073 6.073
angles: 90.00 90.00 90.00
Fractional positions:
Ni: 0.000 0.000 0.000
Ni: 0.000 0.500 0.500
Ni: 0.250 0.250 0.250
Ni: 0.250 0.750 0.750
Ni: 0.500 0.000 0.500
Ni: 0.500 0.500 0.000
Ni: 0.750 0.250 0.750
Ni: 0.750 0.750 0.250
Ag: 0.000 0.000 0.500
Ag: 0.000 0.500 0.000
Ag: 0.500 0.000 0.000
Ag: 0.500 0.500 0.500
As: 0.250 0.250 0.750
As: 0.250 0.750 0.250
As: 0.750 0.250 0.250
As: 0.750 0.750 0.750

## Properties
- Symmetry: F-43m, No. 216
- Electronic total energy: -17.808 eV/f.u.

---

Record 11
The following is a PBE-GGA calculation of Ni2AgAs2 after structural relaxation, from OQMD.

abc: 4.002 4.002 9.872
angles: 90.00 90.00 90.00
Fractional positions:
Ni: 0.250 0.250 0.137
Ni: 0.250 0.750 0.500
Ni: 0.750 0.250 0.500
Ni: 0.750 0.750 0.863
Ag: 0.250 0.250 0.722
Ag: 0.750 0.750 0.278
As: 0.250 0.250 0.368
As: 0.250 0.750 0.000
As: 0.750 0.250 0.000
As: 0.750 0.750 0.632

## Properties
- Symmetry: P4/nmm, No. 129
- Electronic total energy: -23.488 eV/f.u.

---

Record 12
The following is a PBE-GGA calculation of NiAgAsPt after structural relaxation, from OQMD.

abc: 6.262 6.262 6.262
angles: 90.00 90.00 90.00
Fractional positions:
Ni: 0.000 0.000 0.000
Ni: 0.000 0.500 0.500
Ni: 0.500 0.000 0.500
Ni: 0.500 0.500 0.000
Ag: 0.250 0.250 0.250
Ag: 0.250 0.750 0.750
Ag: 0.750 0.250 0.750
Ag: 0.750 0.750 0.250
As: 0.250 0.250 0.750
As: 0.250 0.750 0.250
As: 0.750 0.250 0.250
As: 0.750 0.750 0.750
Pt: 0.000 0.000 0.500
Pt: 0.000 0.500 0.000
Pt: 0.500 0.000 0.000
Pt: 0.500 0.500 0.500

## Properties
- Symmetry: F-43m, No. 216
- Electronic total energy: -18.808 eV/f.u.

---

Record 13
The following is a PBE-GGA calculation of ScNiAgAs after structural relaxation, from OQMD.

abc: 6.398 6.398 6.398
angles: 90.00 90.00 90.00
Fractional positions:
Sc: 0.000 0.000 0.000
Sc: 0.000 0.500 0.500
Sc: 0.500 0.000 0.500
Sc: 0.500 0.500 0.000
Ni: 0.000 0.000 0.500
Ni: 0.000 0.500 0.000
Ni: 0.500 0.000 0.000
Ni: 0.500 0.500 0.500
Ag: 0.250 0.250 0.750
Ag: 0.250 0.750 0.250
Ag: 0.750 0.250 0.250
Ag: 0.750 0.750 0.750
As: 0.250 0.250 0.250
As: 0.250 0.750 0.750
As: 0.750 0.250 0.750
As: 0.750 0.750 0.250

## Properties
- Symmetry: F-43m, No. 216
- Electronic total energy: -20.630 eV/f.u.

---

Record 14
The following is a PBE-GGA calculation of Sr2NiAgAs2 after structural relaxation, from OQMD.

abc: 4.347 4.347 8.746
angles: 90.00 90.00 120.00
Fractional positions:
Sr: 0.000 0.000 0.238
Sr: 0.000 0.000 0.762
Ni: 0.333 0.667 0.000
Ag: 0.667 0.333 0.500
As: 0.333 0.667 0.500
As: 0.667 0.333 0.000

## Properties
- Symmetry: P-6m2, No. 187
- Electronic total energy: -25.511 eV/f.u.

---

Record 15
The following is a PBE-GGA calculation of AgAsO3 after structural relaxation, from OQMD.

abc: 3.571 3.571 4.458
angles: 90.00 90.00 90.00
Fractional positions:
Ag: 0.000 0.000 0.000
As: 0.500 0.500 0.470
O: 0.000 0.500 0.584
O: 0.500 0.000 0.584
O: 0.500 0.500 0.085

## Properties
- Symmetry: P4mm, No. 99
- Electronic total energy: -25.121 eV/f.u.

---

Record 16
The following is a PBE-GGA calculation of AgAs2O4 after structural relaxation, from OQMD.

abc: 6.430 6.430 6.430
angles: 60.00 60.00 60.00
Fractional positions:
Ag: 0.125 0.125 0.125
Ag: 0.875 0.875 0.875
As: 0.000 0.500 0.500
As: 0.500 0.000 0.500
As: 0.500 0.500 0.000
As: 0.500 0.500 0.500
O: 0.269 0.269 0.269
O: 0.269 0.269 0.693
O: 0.269 0.693 0.269
O: 0.307 0.731 0.731
O: 0.693 0.269 0.269
O: 0.731 0.307 0.731
O: 0.731 0.731 0.307
O: 0.731 0.731 0.731

## Properties
- Symmetry: Fd-3m, No. 227
- Electronic total energy: -35.759 eV/f.u.

---

Record 17
The following is a PBE-GGA calculation of AgAsO3 after structural relaxation, from OQMD.

abc: 6.307 6.307 6.307
angles: 46.37 46.37 46.37
Fractional positions:
Ag: 0.144 0.144 0.144
Ag: 0.856 0.856 0.856
As: 0.336 0.336 0.336
As: 0.664 0.664 0.664
O: 0.059 0.679 0.449
O: 0.321 0.551 0.941
O: 0.449 0.059 0.679
O: 0.551 0.941 0.321
O: 0.679 0.449 0.059
O: 0.941 0.321 0.551

## Properties
- Symmetry: R-3, No. 148
- Electronic total energy: -26.586 eV/f.u.

---

Record 18
The following is a PBE-GGA calculation of AgAsO3 after structural relaxation, from OQMD.

abc: 5.362 7.527 5.326
angles: 90.00 90.00 90.00
Fractional positions:
Ag: 0.015 0.250 0.002
Ag: 0.485 0.750 0.502
Ag: 0.515 0.250 0.498
Ag: 0.985 0.750 0.998
As: 0.000 0.000 0.500
As: 0.000 0.500 0.500
As: 0.500 0.000 0.000
As: 0.500 0.500 0.000
O: 0.015 0.750 0.419
O: 0.214 0.542 0.791
O: 0.214 0.958 0.791
O: 0.286 0.042 0.291
O: 0.286 0.458 0.291
O: 0.485 0.250 0.919
O: 0.515 0.750 0.081
O: 0.714 0.542 0.709
O: 0.714 0.958 0.709
O: 0.786 0.042 0.209
O: 0.786 0.458 0.209
O: 0.985 0.250 0.581

## Properties
- Symmetry: Pnma, No. 62
- Electronic total energy: -25.105 eV/f.u.

---

Record 19
The following is a PBE-GGA calculation of AgAsO3 after structural relaxation, from OQMD.

abc: 5.299 5.299 5.299
angles: 60.21 60.21 60.21
Fractional positions:
Ag: 0.250 0.250 0.250
Ag: 0.750 0.750 0.750
As: 0.000 0.000 0.000
As: 0.500 0.500 0.500
O: 0.171 0.750 0.329
O: 0.250 0.671 0.829
O: 0.329 0.171 0.750
O: 0.671 0.829 0.250
O: 0.750 0.329 0.171
O: 0.829 0.250 0.671

## Properties
- Symmetry: R-3c, No. 167
- Electronic total energy: -25.074 eV/f.u.

---

Record 20
The following is a PBE-GGA calculation of AgAs2O after structural relaxation, from OQMD.

abc: 4.433 4.433 8.020
angles: 90.00 90.00 90.00
Fractional positions:
Ag: 0.250 0.250 0.034
Ag: 0.750 0.750 0.966
As: 0.250 0.250 0.669
As: 0.250 0.750 0.500
As: 0.750 0.250 0.500
As: 0.750 0.750 0.331
O: 0.250 0.750 0.000
O: 0.750 0.250 0.000

## Properties
- Symmetry: P4/nmm, No. 129
- Electronic total energy: -16.353 eV/f.u.